Entry 1:
DFT (GGA-PBE) results for a relaxed CuPPd crystal.

Structure (extended XYZ):
```
3
Lattice="0.000 2.814 2.814 2.814 0.000 2.814 2.814 2.814 0.000" Properties=species:S:1:pos:R:3 pbc="T T T"
Cu 0.000 0.000 0.000
P 1.407 1.407 1.407
Pd 2.814 2.814 2.814
```

Output
- total DFT energy (no corrections) (eV per atom) = -5.10

=====

Entry 2:
DFT (GGA-PBE) results for a relaxed CuPPd3 crystal.

Structure (extended XYZ):
```
5
Lattice="4.454 0.000 0.000 0.000 4.454 0.000 0.000 0.000 4.454" Properties=species:S:1:pos:R:3 pbc="T T T"
Cu 0.000 0.000 0.000
P 2.227 2.227 2.227
Pd 0.000 2.227 2.227
Pd 2.227 0.000 2.227
Pd 2.227 2.227 0.000
```

Output
- polymorph energy (0 for the lowest one) (eV/atom) = 0.234

=====

Entry 3:
DFT (GGA-PBE) results for a relaxed Cu14PPd crystal.

Structure (extended XYZ):
```
16
Lattice="8.464 0.000 0.000 0.000 2.549 4.534 0.000 -2.549 4.534" Properties=species:S:1:pos:R:3 pbc="T T T"
Cu 0.000 0.000 0.000
Cu 0.000 -1.261 2.252
Cu 0.000 1.261 2.252
Cu 0.000 0.000 4.501
Cu 2.040 0.000 7.597
Cu 2.069 -1.280 5.294
Cu 2.069 1.280 5.294
Cu 2.149 0.000 3.023
Cu 4.232 -1.285 3.883
Cu 4.232 1.285 3.883
Cu 6.315 0.000 3.023
Cu 6.395 -1.280 5.294
Cu 6.395 1.280 5.294
Cu 6.424 0.000 7.597
P 4.232 0.000 1.625
Pd 4.232 0.000 6.149
```

Output
- total DFT energy (no corrections) (eV per atom) = -4.26

=====

Entry 4:
DFT (GGA-PBE) results for a relaxed PmCuP2Pd crystal.

Structure (extended XYZ):
```
5
Lattice="-2.017 2.017 5.130 2.017 -2.017 5.130 2.017 2.017 -5.130" Properties=species:S:1:pos:R:3 pbc="T T T"
Pm 0.000 0.000 0.000
Cu 2.017 0.000 2.565
P 0.000 0.000 3.962
P 0.000 0.000 6.298
Pd 0.000 2.017 2.565
```

Output
- total DFT energy (no corrections) (eV per atom) = -5.78